VASP calculation (PBE) on Mg4NbSn after structural relaxation.

Properties
Final energy   -2.5523 eV per atom
SG   No. 65

Structure (POSCAR):
```
Mg4NbSn
1.0
-0.3982 5.9753 -1.0982
-4.8120 0.0735 3.7293
3.0341 0.9184 3.8968
Mg Nb Sn
4 1 1
Cartesian
-1.1830 4.9259 -0.2399
-4.0272 1.1228 2.8710
-0.1886 2.4394 2.8098
-1.9875 4.5278 3.7181
-2.6051 3.0244 1.3155
1.5170 0.4592 1.9484
```